Entry 1:
# Ac2Cu3Pd12Pt PBE-GGA optimized geometry
data_Ac2Cu3Pd12Pt
_cell_length_a 6.6625
_cell_length_b 6.6625
_cell_length_c 27.4862
_cell_angle_alpha 90.00
_cell_angle_beta 90.00
_cell_angle_gamma 120.00
_symmetry_space_group_name_H-M 'R -3 m'
_symmetry_Int_Tables_number 166
_symmetry_space_group_name_Hall '-R 3 2"'
loop_
_atom_site_label
_atom_site_type_symbol
_atom_site_fract_x
_atom_site_fract_y
_atom_site_fract_z
Ac1 Ac 0.0000 0.0000 0.1460
Cu1 Cu 0.0000 0.5000 0.0000
Pd1 Pd 0.0225 0.5113 0.0990
Pd2 Pd 0.0673 0.5337 0.6221
Pt1 Pt 0.0000 0.0000 0.5000
# Formation enthalpy at 0 K = -0.0442 eV/atom
# Uncorrected energy = -268.97 eV per cell
# Spin magnetization = 0.0 μB/cell


Entry 2:
# AcCuPdPt PBE-GGA optimized geometry
data_AcCuPdPt
_cell_length_a 7.695
_cell_length_b 4.438
_cell_length_c 5.664
_cell_angle_alpha 90.00
_cell_angle_beta 116.66
_cell_angle_gamma 90.00
_symmetry_space_group_name_H-M 'C 1 m 1'
_symmetry_Int_Tables_number 8
loop_
_symmetry_equiv_pos_as_xyz
'x,y,z'
'x,-y,z'
'x+1/2,y+1/2,z'
'x+1/2,-y+1/2,z'
loop_
_atom_site_label
_atom_site_type_symbol
_atom_site_fract_x
_atom_site_fract_y
_atom_site_fract_z
Ac1 Ac 0.000 0.000 0.000
Cu1 Cu 0.009 0.500 0.525
Pd1 Pd 0.296 0.500 0.387
Pt1 Pt 0.207 0.000 0.621
# Formation enthalpy at 0 K = -0.6786 eV/atom
# Uncorrected energy = -44.31 eV per cell
# Spin magnetization = 0.0 μB/cell


Entry 3:
# Ac2Cu2PdPt5 PBE-GGA optimized geometry
data_Ac2Cu2PdPt5
_cell_length_a 9.599
_cell_length_b 9.599
_cell_length_c 4.092
_cell_angle_alpha 90.00
_cell_angle_beta 90.00
_cell_angle_gamma 90.00
_symmetry_space_group_name_H-M 'P 4/m b m'
_symmetry_Int_Tables_number 127
_symmetry_space_group_name_Hall '-P 4 2ab'
loop_
_atom_site_label
_atom_site_type_symbol
_atom_site_fract_x
_atom_site_fract_y
_atom_site_fract_z
Ac1 Ac 0.187 0.313 0.000
Cu1 Cu 0.111 0.611 0.000
Pd1 Pd 0.000 0.000 0.000
Pt1 Pt 0.000 0.500 0.500
Pt2 Pt 0.056 0.790 0.500
# Formation enthalpy at 0 K = -0.6599 eV/atom
# Uncorrected energy = -116.81 eV per cell
# Spin magnetization = 0.0 μB/cell


Entry 4:
# AcCuPdRh PBE-GGA optimized geometry
data_AcCuPdRh
_cell_length_a 6.819
_cell_length_b 6.819
_cell_length_c 6.819
_cell_angle_alpha 90.00
_cell_angle_beta 90.00
_cell_angle_gamma 90.00
_symmetry_space_group_name_H-M 'F -4 3 m'
_symmetry_Int_Tables_number 216
_symmetry_space_group_name_Hall 'F -4 2 3'
loop_
_atom_site_label
_atom_site_type_symbol
_atom_site_fract_x
_atom_site_fract_y
_atom_site_fract_z
Ac1 Ac 0.000 0.000 0.000
Cu1 Cu 0.000 0.000 0.500
Pd1 Pd 0.250 0.250 0.250
Rh1 Rh 0.250 0.250 0.750
# Formation enthalpy at 0 K = -0.2592 eV/atom
# Uncorrected energy = -87.14 eV per cell
# Spin magnetization = 0.0 μB/cell


Entry 5:
# AcCuSbPd PBE-GGA optimized geometry
data_AcCuSbPd
_cell_length_a 7.144
_cell_length_b 7.144
_cell_length_c 7.144
_cell_angle_alpha 90.00
_cell_angle_beta 90.00
_cell_angle_gamma 90.00
_symmetry_space_group_name_H-M 'F -4 3 m'
_symmetry_Int_Tables_number 216
_symmetry_space_group_name_Hall 'F -4 2 3'
loop_
_atom_site_label
_atom_site_type_symbol
_atom_site_fract_x
_atom_site_fract_y
_atom_site_fract_z
Ac1 Ac 0.000 0.000 0.000
Cu1 Cu 0.250 0.250 0.750
Sb1 Sb 0.000 0.000 0.500
Pd1 Pd 0.250 0.250 0.250
# Uncorrected energy = -78.11 eV per cell
# Spin magnetization = 0.0 μB/cell
# Formation energy without anion corrections = -48 kJ per mole of atoms


Entry 6:
# Ac3CuSb2Pd9 PBE-GGA optimized geometry
data_Ac3CuSb2Pd9
_cell_length_a 6.6414
_cell_length_b 6.6414
_cell_length_c 9.6951
_cell_angle_alpha 90.00
_cell_angle_beta 90.00
_cell_angle_gamma 120.00
_symmetry_space_group_name_H-M 'P -3 m 1'
_symmetry_Int_Tables_number 164
_symmetry_space_group_name_Hall '-P 3 2"'
loop_
_atom_site_label
_atom_site_type_symbol
_atom_site_fract_x
_atom_site_fract_y
_atom_site_fract_z
Ac1 Ac 0.0000 0.0000 0.0000
Ac2 Ac 0.3333 0.6667 0.7082
Cu1 Cu 0.0000 0.0000 0.5000
Sb1 Sb 0.3333 0.6667 0.1858
Pd1 Pd 0.0000 0.5000 0.0000
Pd2 Pd 0.1348 0.2696 0.2942
# Uncorrected energy = -79.31 eV per cell
# Spin magnetization = 0.0 μB/cell
# Formation energy without anion corrections = -51 kJ per mole of atoms


Entry 7:
# Ac2Cu3Sb4Pd PBE-GGA optimized geometry
data_Ac2Cu3Sb4Pd
_cell_length_a 4.714
_cell_length_b 4.714
_cell_length_c 10.537
_cell_angle_alpha 90.00
_cell_angle_beta 90.00
_cell_angle_gamma 90.00
_symmetry_space_group_name_H-M 'P -4 m 2'
_symmetry_Int_Tables_number 115
loop_
_symmetry_equiv_pos_as_xyz
'x,y,z'
'y,-x,-z'
'-x,-y,z'
'-y,x,-z'
'-x,y,z'
'-y,-x,-z'
'x,-y,z'
'y,x,-z'
loop_
_atom_site_label
_atom_site_type_symbol
_atom_site_fract_x
_atom_site_fract_y
_atom_site_fract_z
Ac1 Ac 0.000 0.500 0.238
Cu1 Cu 0.000 0.000 0.000
Cu2 Cu 0.000 0.500 0.626
Sb1 Sb 0.000 0.000 0.500
Sb2 Sb 0.000 0.500 0.869
Sb3 Sb 0.500 0.500 0.500
Pd1 Pd 0.500 0.500 0.000
# Uncorrected energy = -48.36 eV per cell
# Spin magnetization = 0.0 μB/cell
# Formation energy without anion corrections = -60 kJ per mole of atoms


Entry 8:
# AcCuSb2Pd PBE-GGA optimized geometry
data_AcCuSb2Pd
_cell_length_a 4.555
_cell_length_b 4.555
_cell_length_c 11.621
_cell_angle_alpha 90.00
_cell_angle_beta 90.00
_cell_angle_gamma 90.00
_symmetry_space_group_name_H-M 'I -4 m 2'
_symmetry_Int_Tables_number 119
_symmetry_space_group_name_Hall 'I -4 -2'
loop_
_atom_site_label
_atom_site_type_symbol
_atom_site_fract_x
_atom_site_fract_y
_atom_site_fract_z
Ac1 Ac 0.000 0.000 0.000
Cu1 Cu 0.000 0.500 0.750
Sb1 Sb 0.000 0.000 0.369
Pd1 Pd 0.000 0.500 0.250
# Uncorrected energy = -49.67 eV per cell
# Spin magnetization = 0.0 μB/cell
# Formation energy without anion corrections = -62 kJ per mole of atoms


Entry 9:
# Ac3Cu2SbPd9 PBE-GGA optimized geometry
data_Ac3Cu2SbPd9
_cell_length_a 5.8459
_cell_length_b 5.8459
_cell_length_c 11.6805
_cell_angle_alpha 90.00
_cell_angle_beta 90.00
_cell_angle_gamma 120.00
_symmetry_space_group_name_H-M 'P -3 m 1'
_symmetry_Int_Tables_number 164
_symmetry_space_group_name_Hall '-P 3 2"'
loop_
_atom_site_label
_atom_site_type_symbol
_atom_site_fract_x
_atom_site_fract_y
_atom_site_fract_z
Ac1 Ac 0.0000 0.0000 0.0000
Ac2 Ac 0.3333 0.6667 0.7515
Cu1 Cu 0.3333 0.6667 0.1639
Sb1 Sb 0.0000 0.0000 0.5000
Pd1 Pd 0.0000 0.5000 0.0000
Pd2 Pd 0.1721 0.3442 0.3334
# Uncorrected energy = -78.89 eV per cell
# Spin magnetization = 0.0 μB/cell
# Formation energy without anion corrections = -48 kJ per mole of atoms


Entry 10:
# Ac2CuSi4Pd3 PBE-GGA optimized geometry
data_Ac2CuSi4Pd3
_cell_length_a 4.359
_cell_length_b 4.359
_cell_length_c 10.171
_cell_angle_alpha 90.00
_cell_angle_beta 90.00
_cell_angle_gamma 90.00
_symmetry_space_group_name_H-M 'P -4 m 2'
_symmetry_Int_Tables_number 115
loop_
_symmetry_equiv_pos_as_xyz
'x,y,z'
'y,-x,-z'
'-x,-y,z'
'-y,x,-z'
'-x,y,z'
'-y,-x,-z'
'x,-y,z'
'y,x,-z'
loop_
_atom_site_label
_atom_site_type_symbol
_atom_site_fract_x
_atom_site_fract_y
_atom_site_fract_z
Ac1 Ac 0.000 0.500 0.249
Cu1 Cu 0.500 0.500 0.000
Si1 Si 0.000 0.000 0.500
Si2 Si 0.000 0.500 0.875
Si3 Si 0.500 0.500 0.500
Pd1 Pd 0.000 0.000 0.000
Pd2 Pd 0.000 0.500 0.621
# Uncorrected energy = -57.08 eV per cell
# Spin magnetization = 0.0 μB/cell
# Formation energy without anion corrections = -72 kJ per mole of atoms


Entry 11:
# AcCuSi2Pd5 PBE-GGA optimized geometry
data_AcCuSi2Pd5
_cell_length_a 4.771
_cell_length_b 4.771
_cell_length_c 7.101
_cell_angle_alpha 90.00
_cell_angle_beta 90.00
_cell_angle_gamma 90.00
_symmetry_space_group_name_H-M 'P 4/m m m'
_symmetry_Int_Tables_number 123
_symmetry_space_group_name_Hall '-P 4 2'
loop_
_atom_site_label
_atom_site_type_symbol
_atom_site_fract_x
_atom_site_fract_y
_atom_site_fract_z
Ac1 Ac 0.000 0.000 0.000
Cu1 Cu 0.000 0.000 0.500
Si1 Si 0.500 0.500 0.340
Pd1 Pd 0.000 0.500 0.295
Pd2 Pd 0.500 0.500 0.000
# Uncorrected energy = -49.41 eV per cell
# Spin magnetization = 0.0 μB/cell
# Formation energy without anion corrections = -47 kJ per mole of atoms


Entry 12:
# Ac3CuSi2Pd9 PBE-GGA optimized geometry
data_Ac3CuSi2Pd9
_cell_length_a 6.0032
_cell_length_b 6.0032
_cell_length_c 10.2374
_cell_angle_alpha 90.00
_cell_angle_beta 90.00
_cell_angle_gamma 120.00
_symmetry_space_group_name_H-M 'P -3 m 1'
_symmetry_Int_Tables_number 164
_symmetry_space_group_name_Hall '-P 3 2"'
loop_
_atom_site_label
_atom_site_type_symbol
_atom_site_fract_x
_atom_site_fract_y
_atom_site_fract_z
Ac1 Ac 0.0000 0.0000 0.0000
Ac2 Ac 0.3333 0.6667 0.6235
Cu1 Cu 0.0000 0.0000 0.5000
Si1 Si 0.3333 0.6667 0.1630
Pd1 Pd 0.0000 0.5000 0.0000
Pd2 Pd 0.1598 0.3195 0.3090
# Uncorrected energy = -83.86 eV per cell
# Spin magnetization = 0.0 μB/cell
# Formation energy without anion corrections = -63 kJ per mole of atoms